DFT (GGA-PBE) results for crystalline Be2InPb at its relaxed geometry.

The formation energy is 785 meV per atom. As for the density of states at the Fermi level: 6.9 states/eV per cell. The polymorph energy (0 for the lowest one) comes out at 0.439 eV per atom.

It has space group I-42d (No. 122), with a = 6.9687 Å, b = 6.9687 Å, c = 6.8244 Å, α = 90.00°, β = 90.00° and γ = 90.00°. The distinct sites, in fractional coordinates, are Be at (0.2416, 0.2500, 0.1250), In at (0.0000, 0.0000, 0.0000) and Pb at (0.0000, 0.0000, 0.5000).